1.
# Sc2Al9Rh3

An optimized crystal structure of Sc2Al9Rh3 (GGA-PBE, Alexandria).

Computed properties:
Raw total energy in eV/cell: -318.771
Energy of formation from the pure elements in eV/atom: -0.8066
D(E_F) in states/eV/atom: 0.4605
Crystal system: monoclinic
Density in g cm⁻³: 4.73

a = 12.9580 Å, b = 7.4499 Å, c = 10.2675 Å
α = 90.00°, β = 114.74°, γ = 90.00°
Space group C2/c (No. 15)
One atom of each set of equivalent atoms:
Sc1 0.1693 0.0828 0.2500 [8 per cell]
Al1 0.0000 0.3646 0.2500 [4 per cell]
Al2 0.0578 0.0805 0.9230 [8 per cell]
Al3 0.1040 0.4143 0.0597 [8 per cell]
Al4 0.1068 0.3127 0.7480 [8 per cell]
Al5 0.2258 0.4151 0.4252 [8 per cell]
Rh1 0.0862 0.2416 0.5005 [8 per cell]
Rh2 0.2500 0.2500 0.0000 [4 per cell]

2.
# UAl4Ir2

An optimized crystal structure of UAl4Ir2 (GGA-PBE, Alexandria).

Computed properties:
Raw total energy in eV/cell: -193.156
Energy of formation from the pure elements in eV/atom: -0.6155
D(E_F) in states/eV/atom: 1.0265
Crystal system: orthorhombic
Density in g cm⁻³: 10.09

a = 17.0014 Å, b = 4.1949 Å, c = 6.7402 Å
α = 90.00°, β = 90.00°, γ = 90.00°
Space group Pnma (No. 62)
One atom of each set of equivalent atoms:
U1 0.1375 0.2500 0.0419 [4 per cell]
Al1 0.0355 0.7500 0.8418 [4 per cell]
Al2 0.0709 0.2500 0.5031 [4 per cell]
Al3 0.1860 0.7500 0.3575 [4 per cell]
Al4 0.1931 0.7500 0.7522 [4 per cell]
Ir1 0.0425 0.7500 0.2393 [4 per cell]
Ir2 0.2214 0.2500 0.5573 [4 per cell]

3.
# SiSnN2F

An optimized crystal structure of SiSnN2F (GGA-PBE, Alexandria).

Computed properties:
Offset from the most stable computed form in eV/atom: 0.948
Raw total energy in eV/cell: -24.912
D(E_F) in states/eV/atom: 0.4159
Crystal system: tetragonal
Density in g cm⁻³: 4.56
Formation energy from raw total energies in eV per atom: 0.61

a = 4.1361 Å, b = 4.1361 Å, c = 4.1235 Å
α = 90.00°, β = 90.00°, γ = 90.00°
Space group P4/mmm (No. 123)
One atom of each set of equivalent atoms:
Si1 0.0000 0.0000 0.0000 [1 per cell]
Sn1 0.5000 0.5000 0.5000 [1 per cell]
N1 0.0000 0.5000 0.5000 [2 per cell]
F1 0.5000 0.5000 0.0000 [1 per cell]

Repeat the first record exactly.
# Sc2Al9Rh3

An optimized crystal structure of Sc2Al9Rh3 (GGA-PBE, Alexandria).

Computed properties:
Raw total energy in eV/cell: -318.771
Energy of formation from the pure elements in eV/atom: -0.8066
D(E_F) in states/eV/atom: 0.4605
Crystal system: monoclinic
Density in g cm⁻³: 4.73

a = 12.9580 Å, b = 7.4499 Å, c = 10.2675 Å
α = 90.00°, β = 114.74°, γ = 90.00°
Space group C2/c (No. 15)
One atom of each set of equivalent atoms:
Sc1 0.1693 0.0828 0.2500 [8 per cell]
Al1 0.0000 0.3646 0.2500 [4 per cell]
Al2 0.0578 0.0805 0.9230 [8 per cell]
Al3 0.1040 0.4143 0.0597 [8 per cell]
Al4 0.1068 0.3127 0.7480 [8 per cell]
Al5 0.2258 0.4151 0.4252 [8 per cell]
Rh1 0.0862 0.2416 0.5005 [8 per cell]
Rh2 0.2500 0.2500 0.0000 [4 per cell]

The highest raw total energy belongs to which entry?
SiSnN2F